(1)
# PBE Al2MoRu, relaxed
data_Al2MoRu
_space_group_name_H-M_alt 'P 1'
_space_group_IT_number 1
_cell_length_a 5.130
_cell_length_b 5.130
_cell_length_c 5.130
_cell_angle_alpha 146.81
_cell_angle_beta 125.25
_cell_angle_gamma 65.54
loop_
_space_group_symop_operation_xyz
'x,y,z'
loop_
_atom_site_label
_atom_site_type_symbol
_atom_site_fract_x
_atom_site_fract_y
_atom_site_fract_z
Al1 Al 0.489 0.489 0.000
Al2 Al 0.011 0.011 0.000
Ru1 Ru 0.250 0.750 0.500
Mo1 Mo 0.750 0.250 0.500
# E_form, eV/atom: -0.1839
# Offset from the most stable computed form, eV per atom: 0.198
# DOS(E_F), states/eV per cell: 2.44
# Total moment, μB per atom: 0.0000
# Calculated volume, Å³ per atom: 14.9
# Total energy, eV/atom: -7.082
# Symmetry: Immm (71)



(2)
# PBE Na2LaZnF8, relaxed
data_Na2LaZnF8
_space_group_name_H-M_alt 'P 1'
_space_group_IT_number 1
_cell_length_a 4.185
_cell_length_b 5.515
_cell_length_c 7.339
_cell_angle_alpha 89.96
_cell_angle_beta 90.03
_cell_angle_gamma 93.89
loop_
_space_group_symop_operation_xyz
'x,y,z'
loop_
_atom_site_label
_atom_site_type_symbol
_atom_site_fract_x
_atom_site_fract_y
_atom_site_fract_z
F1 F 0.483 0.245 0.500
F2 F 0.620 0.785 0.000
F3 F 0.517 0.755 0.500
F4 F 0.086 0.775 0.777
F5 F 0.380 0.215 0.000
F6 F 0.914 0.225 0.223
F7 F 0.914 0.224 0.777
F8 F 0.086 0.776 0.223
Na1 Na 0.500 0.500 0.768
Na2 Na 0.500 0.500 0.232
La1 La 0.000 0.000 0.500
Zn1 Zn 0.000 0.000 0.000
# DOS(E_F), states/eV per cell: 3.31
# Total moment, μB per atom: 0.0908
# Calculated volume, Å³ per atom: 14.1
# Total energy, eV/atom: -4.824
# Symmetry: P2/m (10)